Record 1
# Ba3FeSn2O9

Crystalline Ba3FeSn2O9 at its relaxed geometry (GGA+U, the Alexandria database).

Results
symmetry	P-3m1
energy	-94.7	eV for the cell shown

a = 5.8788 Å, b = 5.8788 Å, c = 7.2148 Å
α = 90.00°, β = 90.00°, γ = 120.00°
Closest atoms and distances in Å follow each position.
Fractional coordinates of all 15 atoms:
Ba 0.0000 0.0000 0.0000  12 O 2.94-2.95
Ba 0.3333 0.6667 0.6622  12 O 2.91-2.97
Ba 0.6667 0.3333 0.3378  12 O 2.91-2.97
Fe 0.0000 0.0000 0.5000  6 O 2.05
Sn 0.3333 0.6667 0.1703  6 O 2.09
Sn 0.6667 0.3333 0.8297  6 O 2.09
O 0.0000 0.5000 0.0000  2 Sn 2.09
O 0.1648 0.3296 0.3357  1 Fe 2.05, 1 Sn 2.09
O 0.1648 0.8352 0.3357  1 Fe 2.05, 1 Sn 2.09
O 0.3296 0.1648 0.6643  1 Fe 2.05, 1 Sn 2.09
O 0.5000 0.0000 0.0000  2 Sn 2.09
O 0.5000 0.5000 0.0000  2 Sn 2.09
O 0.6704 0.8352 0.3357  1 Fe 2.05, 1 Sn 2.09
O 0.8352 0.1648 0.6643  1 Fe 2.05, 1 Sn 2.09
O 0.8352 0.6704 0.6643  1 Fe 2.05, 1 Sn 2.09


Record 2
# Ba3Fe10SnO20

Crystalline Ba3Fe10SnO20 at its relaxed geometry (GGA+U, the Alexandria database).

Results
symmetry	C2/m
energy	-220.5	eV for the cell shown

a = 10.0954 Å, b = 10.0954 Å, c = 5.3053 Å
α = 104.45°, β = 104.45°, γ = 73.35°
Closest atoms and distances in Å follow each position.
Fractional coordinates of all 34 atoms:
Ba 0.0000 0.0000 0.0000  6 O 2.69-2.83
Ba 0.2768 0.2768 0.2675  5 O 2.63-2.79
Ba 0.7232 0.7232 0.7325  5 O 2.63-2.79
Fe 0.0013 0.2814 0.6540  4 O 1.88-1.94
Fe 0.1478 0.5786 0.8356  4 O 1.89-1.93
Fe 0.2814 0.0013 0.6540  4 O 1.88-1.94
Fe 0.3713 0.6287 0.5000  6 O 1.98-2.02
Fe 0.4214 0.8522 0.1644  4 O 1.89-1.93
Fe 0.5786 0.1478 0.8356  4 O 1.89-1.93
Fe 0.6287 0.3713 0.5000  6 O 1.98-2.02
Fe 0.7186 0.9987 0.3460  4 O 1.88-1.94
Fe 0.8522 0.4214 0.1644  4 O 1.89-1.93
Fe 0.9987 0.7186 0.3460  4 O 1.88-1.94
Sn 0.5000 0.5000 0.0000  6 O 2.06-2.10
O 0.0023 0.7171 0.9866  2 Fe 1.90-1.91
O 0.0963 0.0963 0.5152  2 Fe 1.90
O 0.1204 0.3975 0.6691  2 Fe 1.88-1.89
O 0.1798 0.6615 0.5721  3 Fe 1.93-1.98
O 0.2829 0.9977 0.0134  2 Fe 1.90-1.91
O 0.3056 0.5473 0.1200  2 Fe 1.91-2.00, 1 Sn 2.10
O 0.3385 0.8202 0.4279  3 Fe 1.93-1.98
O 0.3975 0.1204 0.6691  2 Fe 1.88-1.89
O 0.4364 0.4364 0.5974  2 Fe 2.02, 1 Sn 2.06
O 0.4527 0.6944 0.8800  2 Fe 1.91-2.00, 1 Sn 2.10
O 0.5473 0.3056 0.1200  2 Fe 1.91-2.00, 1 Sn 2.10
O 0.5636 0.5636 0.4026  2 Fe 2.02, 1 Sn 2.06
O 0.6025 0.8796 0.3309  2 Fe 1.88-1.89
O 0.6615 0.1798 0.5721  3 Fe 1.93-1.98
O 0.6944 0.4527 0.8800  2 Fe 1.91-2.00, 1 Sn 2.10
O 0.7171 0.0023 0.9866  2 Fe 1.90-1.91
O 0.8202 0.3385 0.4279  3 Fe 1.93-1.98
O 0.8796 0.6025 0.3309  2 Fe 1.88-1.89
O 0.9037 0.9037 0.4848  2 Fe 1.90
O 0.9977 0.2829 0.0134  2 Fe 1.90-1.91